This record from the Alexandria database describes a geometry-optimized CrNiP structure. The functional is PBE.

Cell: 2.9862 2.9862 14.5225 Å, 90.00 90.00 120.00°
With the nearest neighbours (Å) after each atom.
Space group R3m (No. 160, hexagonal axes)
One atom of each set of equivalent atoms:
1 Cr 0.0000 0.0000 0.0000 (multiplicity 3)  3 P 2.25
2 Ni 0.0000 0.0000 0.8036 (multiplicity 3)  3 P 2.23
3 P 0.0000 0.0000 0.5676 (multiplicity 3)  3 Ni 2.23, 3 Cr 2.25

Results
size of the total moment: 0.3219 μB/atom
DFT formation energy: -97 meV/atom